# 1
Mg3Si4: relaxed, PBE.

Structure (CIF):
```
data_Mg3Si4
_space_group_name_H-M_alt 'P 1'
_space_group_IT_number 1
_space_group_name_Hall 'P 1'
_cell_length_a 5.648
_cell_length_b 7.130
_cell_length_c 7.887
_cell_angle_alpha 103.18
_cell_angle_beta 105.84
_cell_angle_gamma 111.40
loop_
_atom_site_label
_atom_site_type_symbol
_atom_site_fract_x
_atom_site_fract_y
_atom_site_fract_z
_atom_site_occupancy
Mg1 Mg 0.000 0.000 0.000 1
Mg2 Mg 0.043 0.350 0.369 1
Mg3 Mg 0.183 0.628 0.840 1
Mg4 Mg 0.449 0.864 0.622 1
Mg5 Mg 0.813 0.679 0.496 1
Mg6 Mg 0.902 0.604 0.135 1
Si1 Si 0.163 0.021 0.387 1
Si2 Si 0.359 0.314 0.901 1
Si3 Si 0.369 0.556 0.180 1
Si4 Si 0.490 0.939 0.229 1
Si5 Si 0.558 0.086 0.992 1
Si6 Si 0.631 0.563 0.774 1
Si7 Si 0.646 0.277 0.540 1
Si8 Si 0.942 0.109 0.620 1
```

Output
Distance to the lowest polymorph of the same formula: 35.2 kJ/mol of formula units
Total DFT energy (no corrections): -3.68 eV per atom
ρ: 2.32 Mg/m³
Raw formation energy: 0.73 eV per formula unit
Calculated volume: 132.4 Å³/f.u.

=====

# 2
Dy2TmZrP4: relaxed, PBE.

Structure (CIF):
```
data_Dy2TmZrP4
_space_group_name_H-M_alt 'P 1 2/m 1'
_space_group_IT_number 10
_space_group_name_Hall '-P 2y'
_cell_length_a 6.780
_cell_length_b 3.911
_cell_length_c 6.785
_cell_angle_alpha 90.00
_cell_angle_beta 109.29
_cell_angle_gamma 90.00
loop_
_atom_site_label
_atom_site_type_symbol
_atom_site_fract_x
_atom_site_fract_y
_atom_site_fract_z
_atom_site_occupancy
Dy1 Dy 0.000 0.000 0.000 1
Dy2 Dy 0.500 0.500 0.000 1
Tm1 Tm 0.000 0.500 0.500 1
Zr1 Zr 0.500 0.000 0.500 1
P1 P 0.253 0.000 0.742 1
P2 P 0.259 0.500 0.262 1
```

Output
Total DFT energy (no corrections): -7.04 eV per atom
ρ: 6.93 Mg/m³
Calculated volume: 169.8 Å³/f.u.
Formation enthalpy at 0 K: -1.55 eV per atom